[1]
# meta-GGA SCAN Li2CdAu2, single point on PBEsol structure
# V: 165.1 Å³ per cell
# Energy of formation from the pure elements: -49 kJ per mole of atoms
# ρ: 10.5 Mg/m³
# Total magnetization: 0.00 μB/cell
data_Li2CdAu2
_space_group_name_H-M_alt 'P 4/m b m'
_space_group_IT_number 127
_space_group_name_Hall '-P 4 2ab'
_cell_length_a 7.3201
_cell_length_b 7.3201
_cell_length_c 3.0804
_cell_angle_alpha 90.00
_cell_angle_beta 90.00
_cell_angle_gamma 90.00
loop_
_atom_site_label
_atom_site_type_symbol
_atom_site_fract_x
_atom_site_fract_y
_atom_site_fract_z
Li1 Li 0.1595 0.3405 0.0000
Cd1 Cd 0.0000 0.0000 0.5000
Au1 Au 0.1373 0.6373 0.5000



[2]
# meta-GGA SCAN LiCd2Au, single point on PBEsol structure
# V: 281.4 Å³ per cell
# Energy of formation from the pure elements: -40 kJ per mole of atoms
# ρ: 10.1 Mg/m³
# Total magnetization: 0.00 μB/cell
data_LiCd2Au
_space_group_name_H-M_alt 'F m -3 m'
_space_group_IT_number 225
_space_group_name_Hall '-F 4 2 3'
_cell_length_a 6.5532
_cell_length_b 6.5532
_cell_length_c 6.5532
_cell_angle_alpha 90.00
_cell_angle_beta 90.00
_cell_angle_gamma 90.00
loop_
_atom_site_label
_atom_site_type_symbol
_atom_site_fract_x
_atom_site_fract_y
_atom_site_fract_z
Li1 Li 0.0000 0.0000 0.0000
Cd1 Cd 0.2500 0.2500 0.2500
Au1 Au 0.0000 0.0000 0.5000



[3]
# meta-GGA SCAN Li2CdAu, single point on PBEsol structure
# V: 264.8 Å³ per cell
# Energy of formation from the pure elements: -48 kJ per mole of atoms
# ρ: 8.1 Mg/m³
# Total magnetization: 0.00 μB/cell
data_Li2CdAu
_space_group_name_H-M_alt 'F -4 3 m'
_space_group_IT_number 216
_space_group_name_Hall 'F -4 2 3'
_cell_length_a 6.4213
_cell_length_b 6.4213
_cell_length_c 6.4213
_cell_angle_alpha 90.00
_cell_angle_beta 90.00
_cell_angle_gamma 90.00
loop_
_atom_site_label
_atom_site_type_symbol
_atom_site_fract_x
_atom_site_fract_y
_atom_site_fract_z
Li1 Li 0.0000 0.0000 0.0000
Li2 Li 0.2500 0.2500 0.2500
Cd1 Cd 0.0000 0.0000 0.5000
Au1 Au 0.2500 0.2500 0.7500



[4]
# meta-GGA SCAN Li2CdAu, single point on PBEsol structure
# V: 63.4 Å³ per cell
# Energy of formation from the pure elements: -46 kJ per mole of atoms
# ρ: 8.5 Mg/m³
# Total magnetization: 0.00 μB/cell
data_Li2CdAu
_space_group_name_H-M_alt 'P 4/m m m'
_space_group_IT_number 123
_space_group_name_Hall '-P 4 2'
_cell_length_a 4.1924
_cell_length_b 4.1924
_cell_length_c 3.6052
_cell_angle_alpha 90.00
_cell_angle_beta 90.00
_cell_angle_gamma 90.00
loop_
_atom_site_label
_atom_site_type_symbol
_atom_site_fract_x
_atom_site_fract_y
_atom_site_fract_z
Li1 Li 0.0000 0.5000 0.0000
Cd1 Cd 0.0000 0.0000 0.5000
Au1 Au 0.5000 0.5000 0.5000



[5]
# meta-GGA SCAN Li2CdAu, single point on PBEsol structure
# V: 66.2 Å³ per cell
# Energy of formation from the pure elements: -40 kJ per mole of atoms
# ρ: 8.1 Mg/m³
# Total magnetization: 0.00 μB/cell
data_Li2CdAu
_space_group_name_H-M_alt 'P m m 2'
_space_group_IT_number 25
_space_group_name_Hall 'P 2 -2'
_cell_length_a 2.8622
_cell_length_b 4.0711
_cell_length_c 5.6828
_cell_angle_alpha 90.00
_cell_angle_beta 90.00
_cell_angle_gamma 90.00
loop_
_atom_site_label
_atom_site_type_symbol
_atom_site_fract_x
_atom_site_fract_y
_atom_site_fract_z
Li1 Li 0.0000 0.0000 0.0000
Li2 Li 0.5000 0.5000 0.2680
Cd1 Cd 0.5000 0.5000 0.7540
Au1 Au 0.0000 0.0000 0.4746



[6]
# meta-GGA SCAN LiCdAu2, single point on PBEsol structure
# V: 133.2 Å³ per cell
# Energy of formation from the pure elements: -44 kJ per mole of atoms
# ρ: 12.8 Mg/m³
# Total magnetization: 0.00 μB/cell
data_LiCdAu2
_space_group_name_H-M_alt 'I 4/m m m'
_space_group_IT_number 139
_space_group_name_Hall '-I 4 2'
_cell_length_a 4.1034
_cell_length_b 4.1034
_cell_length_c 7.9086
_cell_angle_alpha 90.00
_cell_angle_beta 90.00
_cell_angle_gamma 90.00
loop_
_atom_site_label
_atom_site_type_symbol
_atom_site_fract_x
_atom_site_fract_y
_atom_site_fract_z
Li1 Li 0.0000 0.0000 0.0000
Cd1 Cd 0.0000 0.0000 0.5000
Au1 Au 0.0000 0.5000 0.2500